Density functional theory data (PBE with a Hubbard U) for an optimized crystal structure of MoAsPO2.

abc: 3.831 3.831 5.543
angles: 90.00 90.00 90.00
Fractional coordinates of all 5 atoms:
Mo1 0.000 0.000 0.000
As1 0.500 0.500 0.500
P1 0.000 0.000 0.500
O1 0.000 0.500 0.000
O2 0.500 0.000 0.000

Output
space-group type	P4/mmm, No. 123
N(E_F)	1.72	states/eV per cell
spin magnetization	0.411	μB per atom
total DFT energy (no corrections)	-0.2165	hartree per atom

Density functional theory data (PBE with a Hubbard U) for an optimized crystal structure of RbMoAsO6.

abc: 5.152 5.152 6.377
angles: 90.00 90.00 120.00
Fractional coordinates of all 9 atoms:
Rb1 0.000 0.000 0.000
Mo1 0.333 0.667 0.500
As1 0.667 0.333 0.500
O1 0.400 0.011 0.669
O2 0.400 0.389 0.331
O3 0.611 0.011 0.331
O4 0.611 0.600 0.669
O5 0.989 0.389 0.669
O6 0.989 0.600 0.331

Output
space-group type	P312, No. 149
spin magnetization	0.000	μB per atom
total DFT energy (no corrections)	-0.2282	hartree per atom

Density functional theory data (PBE with a Hubbard U) for an optimized crystal structure of Rb2MoAsO6.

abc: 5.706 5.706 5.696
angles: 119.82 119.82 90.36
Fractional coordinates of all 10 atoms:
Rb1 0.250 0.750 0.000
Rb2 0.750 0.250 0.000
Mo1 0.000 0.000 0.500
As1 0.500 0.500 0.500
O1 0.243 0.757 0.500
O2 0.244 0.244 0.989
O3 0.246 0.246 0.499
O4 0.754 0.754 0.501
O5 0.756 0.756 0.011
O6 0.757 0.243 0.500

Output
space-group type	C2/m, No. 12
N(E_F)	1.48	states/eV per cell
spin magnetization	0.000	μB per atom
total DFT energy (no corrections)	-0.2089	hartree per atom

Density functional theory data (PBE with a Hubbard U) for an optimized crystal structure of Rb2Mo3As4O22.

abc: 11.873 11.873 9.752
angles: 97.57 97.57 50.79
Fractional coordinates of all 62 atoms:
Rb1 0.117 0.623 0.878
Rb2 0.377 0.883 0.622
Rb3 0.623 0.117 0.378
Rb4 0.883 0.377 0.122
Mo1 0.032 0.321 0.717
Mo2 0.321 0.032 0.217
Mo3 0.445 0.555 0.250
Mo4 0.555 0.445 0.750
Mo5 0.679 0.968 0.783
Mo6 0.968 0.679 0.283
As1 0.193 0.324 0.433
As2 0.286 0.525 0.489
As3 0.324 0.193 0.933
As4 0.475 0.714 0.011
As5 0.525 0.286 0.989
As6 0.676 0.807 0.067
As7 0.714 0.475 0.511
As8 0.807 0.676 0.567
O1 0.034 0.959 0.951
O2 0.040 0.465 0.349
O3 0.041 0.966 0.549
O4 0.092 0.582 0.156
O5 0.110 0.665 0.440
O6 0.118 0.141 0.744
O7 0.141 0.118 0.244
O8 0.171 0.243 0.544
O9 0.189 0.326 0.822
O10 0.243 0.171 0.044
O11 0.290 0.381 0.532
O12 0.305 0.625 0.122
O13 0.326 0.189 0.322
O14 0.335 0.890 0.060
O15 0.336 0.576 0.639
O16 0.375 0.695 0.378
O17 0.381 0.290 0.032
O18 0.401 0.448 0.355
O19 0.418 0.908 0.344
O20 0.424 0.664 0.861
O21 0.448 0.401 0.855
O22 0.465 0.040 0.849
O23 0.535 0.960 0.151
O24 0.552 0.599 0.145
O25 0.576 0.336 0.139
O26 0.582 0.092 0.656
O27 0.599 0.552 0.645
O28 0.619 0.710 0.968
O29 0.625 0.305 0.622
O30 0.664 0.424 0.361
O31 0.665 0.110 0.940
O32 0.674 0.811 0.678
O33 0.695 0.375 0.878
O34 0.710 0.619 0.468
O35 0.757 0.829 0.956
O36 0.811 0.674 0.178
O37 0.829 0.757 0.456
O38 0.859 0.882 0.756
O39 0.882 0.859 0.256
O40 0.890 0.335 0.560
O41 0.908 0.418 0.844
O42 0.959 0.034 0.451
O43 0.960 0.535 0.651
O44 0.966 0.041 0.049

Output
space-group type	C2/c, No. 15
N(E_F)	0.00	states/eV per cell
spin magnetization	0.061	μB per atom
total DFT energy (no corrections)	-0.2285	hartree per atom

Density functional theory data (PBE with a Hubbard U) for an optimized crystal structure of RbMoAsO6.

abc: 10.555 10.029 8.680
angles: 68.25 61.95 49.80
Fractional coordinates of all 36 atoms:
Rb1 0.076 0.674 0.674
Rb2 0.326 0.924 0.924
Rb3 0.674 0.076 0.076
Rb4 0.924 0.326 0.326
Mo1 0.155 0.595 0.155
Mo2 0.405 0.845 0.405
Mo3 0.595 0.155 0.595
Mo4 0.845 0.405 0.845
As1 0.245 0.245 0.505
As2 0.495 0.495 0.755
As3 0.505 0.505 0.245
As4 0.755 0.755 0.495
O1 0.021 0.338 0.604
O2 0.049 0.556 0.091
O3 0.091 0.804 0.049
O4 0.196 0.909 0.444
O5 0.280 0.318 0.289
O6 0.289 0.613 0.280
O7 0.318 0.280 0.613
O8 0.338 0.021 0.538
O9 0.387 0.711 0.682
O10 0.396 0.462 0.979
O11 0.444 0.951 0.196
O12 0.462 0.396 0.662
O13 0.538 0.604 0.338
O14 0.556 0.049 0.804
O15 0.604 0.538 0.021
O16 0.613 0.289 0.318
O17 0.662 0.979 0.462
O18 0.682 0.720 0.387
O19 0.711 0.387 0.720
O20 0.720 0.682 0.711
O21 0.804 0.091 0.556
O22 0.909 0.196 0.951
O23 0.951 0.444 0.909
O24 0.979 0.662 0.396

Output
space-group type	Fddd, No. 70
N(E_F)	0.00	states/eV per cell
spin magnetization	0.000	μB per atom
total DFT energy (no corrections)	-0.2303	hartree per atom

Density functional theory data (PBE with a Hubbard U) for an optimized crystal structure of ScMo2AsO.

abc: 5.071 5.071 5.113
angles: 90.00 90.00 90.00
Fractional coordinates of all 5 atoms:
Sc1 0.000 0.000 0.000
Mo1 0.000 0.500 0.500
Mo2 0.500 0.000 0.500
As1 0.000 0.000 0.500
O1 0.500 0.500 0.000

Output
space-group type	P4/mmm, No. 123
N(E_F)	2.16	states/eV per cell
spin magnetization	1.944	μB per atom
total DFT energy (no corrections)	-0.1847	hartree per atom

Density functional theory data (PBE with a Hubbard U) for an optimized crystal structure of MoAsSe2O.

abc: 4.588 4.588 4.312
angles: 90.00 90.00 90.00
Fractional coordinates of all 5 atoms:
Mo1 0.000 0.000 0.000
As1 0.500 0.500 0.000
Se1 0.000 0.500 0.500
Se2 0.500 0.000 0.500
O1 0.500 0.500 0.500

Output
space-group type	P4/mmm, No. 123
N(E_F)	2.38	states/eV per cell
spin magnetization	0.537	μB per atom
total DFT energy (no corrections)	-0.1567	hartree per atom

Density functional theory data (PBE with a Hubbard U) for an optimized crystal structure of MoAsSe2O.

abc: 4.822 4.822 4.962
angles: 90.00 90.00 90.00
Fractional coordinates of all 5 atoms:
Mo1 0.000 0.000 0.000
As1 0.000 0.000 0.500
Se1 0.000 0.500 0.000
Se2 0.500 0.000 0.000
O1 0.500 0.500 0.500

Output
space-group type	P4/mmm, No. 123
N(E_F)	5.67	states/eV per cell
spin magnetization	0.015	μB per atom
total DFT energy (no corrections)	-0.1367	hartree per atom

Density functional theory data (PBE with a Hubbard U) for an optimized crystal structure of SmMoAs2O8.

abc: 6.709 6.709 6.709
angles: 135.95 135.95 64.06
Fractional coordinates of all 12 atoms:
Sm1 0.000 0.000 0.000
Mo1 0.250 0.750 0.500
As1 0.500 0.500 0.000
As2 0.750 0.250 0.500
O1 0.266 0.666 0.096
O2 0.334 0.430 0.600
O3 0.418 0.011 0.080
O4 0.570 0.170 0.904
O5 0.662 0.582 0.593
O6 0.830 0.734 0.400
O7 0.931 0.338 0.920
O8 0.989 0.069 0.407

Output
space-group type	I-4, No. 82
N(E_F)	2.41	states/eV per cell
spin magnetization	0.250	μB per atom
total DFT energy (no corrections)	-0.2488	hartree per atom

Density functional theory data (PBE with a Hubbard U) for an optimized crystal structure of SrMoAs2O8.

abc: 5.525 5.525 7.114
angles: 90.00 90.00 120.00
Fractional coordinates of all 12 atoms:
Sr1 0.000 0.000 0.000
Mo1 0.000 0.000 0.500
As1 0.333 0.667 0.236
As2 0.667 0.333 0.764
O1 0.163 0.326 0.313
O2 0.163 0.837 0.313
O3 0.326 0.163 0.687
O4 0.333 0.667 0.000
O5 0.667 0.333 0.000
O6 0.674 0.837 0.313
O7 0.837 0.163 0.687
O8 0.837 0.674 0.687

Output
space-group type	P-3m1, No. 164
N(E_F)	3.69	states/eV per cell
spin magnetization	0.167	μB per atom
total DFT energy (no corrections)	-0.2364	hartree per atom

Density functional theory data (PBE with a Hubbard U) for an optimized crystal structure of SrMoAsO6.

abc: 5.197 5.197 5.378
angles: 90.00 90.00 120.00
Fractional coordinates of all 9 atoms:
Sr1 0.000 0.000 0.000
Mo1 0.667 0.333 0.500
As1 0.333 0.667 0.500
O1 0.018 0.398 0.701
O2 0.018 0.620 0.299
O3 0.380 0.398 0.299
O4 0.380 0.982 0.701
O5 0.602 0.620 0.701
O6 0.602 0.982 0.299

Output
space-group type	P312, No. 149
N(E_F)	0.00	states/eV per cell
spin magnetization	0.111	μB per atom
total DFT energy (no corrections)	-0.2460	hartree per atom

Density functional theory data (PBE with a Hubbard U) for an optimized crystal structure of Ta2MoAsO.

abc: 4.067 4.067 5.028
angles: 90.00 90.00 90.00
Fractional coordinates of all 5 atoms:
Ta1 0.000 0.500 0.000
Ta2 0.500 0.000 0.000
Mo1 0.000 0.000 0.500
As1 0.500 0.500 0.500
O1 0.500 0.500 0.000

Output
space-group type	P4/mmm, No. 123
N(E_F)	3.64	states/eV per cell
spin magnetization	0.468	μB per atom
total DFT energy (no corrections)	-0.2991	hartree per atom